The following is a SCAN calculation of Mn3Re at its PBEsol-relaxed geometry, from Alexandria via LeMat-Bulk.

Computed properties:
calculated total energy = -31.534 eV per atom
mass density = 12223 kg/m³
formation enthalpy at 0 K = -69 meV per atom
space-group type = No. 65
magnetization = 1.27 μB/f.u.

```
Mn3Re
1.0
-0.525 0.943 2.359
-2.532 -3.496 0.833
4.094 -0.949 1.290
Mn Re
3 1
direct
0.500 0.500 0.000
0.500 0.000 0.500
0.000 0.000 0.000
0.000 0.500 0.500
```